Density functional theory data (PBE) for crystalline Dy4PdAu2 at its relaxed geometry.

Summary:
As for the space group: R-3m (166). The density of states at the Fermi level comes out at 0.721 states/eV/atom. The calculation puts the formation energy at -0.693 eV/atom. The calculation puts the calculated volume at 178 Å³/cell. As for the magnetization: 0.0 μB/f.u.

Cell: 4.996 4.996 8.728 Å, 73.37 73.37 60.00°
Positions (direct):
Dy 0.876 0.876 0.371
Dy 0.124 0.124 0.629
Dy 0.626 0.626 0.121
Dy 0.374 0.374 0.879
Pd 0.000 0.000 0.000
Au 0.756 0.756 0.732
Au 0.244 0.244 0.268

Density functional theory data (PBE) for crystalline HoAl8Co2 at its relaxed geometry.

Summary:
As for the space group: P4/mmm (123). The density of states at the Fermi level comes out at 0.805 states/eV/atom. The calculation puts the formation energy at 0.078 eV/atom. The calculation puts the calculated volume at 241 Å³/cell. As for the magnetization: 0.0 μB/f.u.

Cell: 5.614 5.614 7.650 Å, 90.00 90.00 90.00°
Positions (direct):
Ho 0.500 0.500 0.500
Al 0.750 0.750 0.178
Al 0.750 0.250 0.822
Al 0.750 0.750 0.822
Al 0.750 0.250 0.178
Al 0.250 0.750 0.178
Al 0.250 0.750 0.822
Al 0.250 0.250 0.178
Al 0.250 0.250 0.822
Co 0.500 0.000 0.000
Co 0.000 0.500 0.000

Look up the magnetization of the second one. 0.0 μB/f.u.

Repeat the second record exactly.
Density functional theory data (PBE) for crystalline HoAl8Co2 at its relaxed geometry.

Summary:
As for the space group: P4/mmm (123). The density of states at the Fermi level comes out at 0.805 states/eV/atom. The calculation puts the formation energy at 0.078 eV/atom. The calculation puts the calculated volume at 241 Å³/cell. As for the magnetization: 0.0 μB/f.u.

Cell: 5.614 5.614 7.650 Å, 90.00 90.00 90.00°
Positions (direct):
Ho 0.500 0.500 0.500
Al 0.750 0.750 0.178
Al 0.750 0.250 0.822
Al 0.750 0.750 0.822
Al 0.750 0.250 0.178
Al 0.250 0.750 0.178
Al 0.250 0.750 0.822
Al 0.250 0.250 0.178
Al 0.250 0.250 0.822
Co 0.500 0.000 0.000
Co 0.000 0.500 0.000

Look up the magnetization of the second one. 0.0 μB/f.u.

calculated volume of number 2 (HoAl8Co2)? 241 Å³/cell